Record 1
A plane-wave DFT calculation with PBE was carried out for crystalline MgTaPdAu at its relaxed geometry.

a b c (Å): 4.5517 4.5517 4.5517
angles (deg): 60.00 60.00 60.00
With the nearest neighbours (Å) after each atom.
Element x y z (fractional)
Ta  0.0000  0.0000  0.0000  4 Mg 2.79, 4 Pd 2.79
Mg  0.7500  0.7500  0.7500  4 Au 2.79, 4 Ta 2.79
Pd  0.2500  0.2500  0.2500  4 Au 2.79, 4 Ta 2.79
Au  0.5000  0.5000  0.5000  4 Pd 2.79, 4 Mg 2.79

Output
* distance to the lowest polymorph of the same formula: 186.5 meV/atom
* space-group type: F-43m (216)
* magnetic moment: 0.001 μB per formula unit

---

Record 2
A plane-wave DFT calculation with PBE was carried out for crystalline Tb3Mg2ZnPd2Au at its relaxed geometry.

a b c (Å): 4.0082 7.5043 7.5043
angles (deg): 120.37 90.00 90.00
With the nearest neighbours (Å) after each atom.
Element x y z (fractional)
Pd  0.5000  0.3340  0.6691  2 Mg 2.84-2.88, 1 Zn 2.85, 6 Tb 2.98-3.08
Pd  0.5000  0.6691  0.3340  2 Mg 2.84-2.88, 1 Zn 2.85, 6 Tb 2.98-3.08
Au  0.0000  0.9992  0.9992  4 Mg 2.74, 2 Zn 2.77, 2 Tb 3.04
Tb  0.0000  0.4105  0.0128  4 Pd 2.98-3.08, 1 Au 3.04, 2 Mg 3.29, 2 Zn 3.29
Tb  0.0000  0.5704  0.5704  4 Pd 3.01, 2 Zn 3.09, 1 Au 3.20
Tb  0.0000  0.0128  0.4105  4 Pd 2.98-3.08, 1 Au 3.04, 2 Mg 3.29, 2 Zn 3.29
Mg  0.5000  0.7502  0.9980  2 Au 2.74, 2 Pd 2.84-2.88
Mg  0.5000  0.9980  0.7502  2 Au 2.74, 2 Pd 2.84-2.88
Zn  0.5000  0.2556  0.2556  2 Au 2.77, 2 Pd 2.85, 2 Tb 3.09

Output
* total DFT energy (no corrections): -4.24 eV/atom
* space-group type: Amm2 (38)
* magnetic moment: 0.019 μB per formula unit

---

Record 3
A plane-wave DFT calculation with PBE was carried out for crystalline Tm3Mg3Pd2Au at its relaxed geometry.

a b c (Å): 7.3928 7.3928 4.0694
angles (deg): 90.00 90.00 120.00
With the nearest neighbours (Å) after each atom.
Element x y z (fractional)
Pd  0.6667  0.3333  0.5000  3 Mg 2.82, 6 Tm 3.02
Pd  0.3333  0.6667  0.5000  3 Mg 2.82, 6 Tm 3.02
Tm  0.4137  0.0000  0.0000  4 Pd 3.02, 1 Au 3.06, 6 Mg 3.20-3.36
Tm  0.5863  0.5863  0.0000  4 Pd 3.02, 1 Au 3.06, 6 Mg 3.20-3.36
Tm  0.0000  0.4137  0.0000  4 Pd 3.02, 1 Au 3.06, 6 Mg 3.20-3.36
Mg  0.7486  0.0000  0.5000  2 Au 2.76, 2 Pd 2.82
Mg  0.0000  0.7486  0.5000  2 Au 2.76, 2 Pd 2.82
Mg  0.2514  0.2514  0.5000  2 Au 2.76, 2 Pd 2.82
Au  0.0000  0.0000  0.0000  6 Mg 2.76, 3 Tm 3.06

Output
* total DFT energy (no corrections): -4.21 eV/atom
* space-group type: P-62m (189)
* magnetic moment: 0.013 μB per formula unit

---

Record 4
A plane-wave DFT calculation with PBE was carried out for crystalline Tm3Mg3PdAu2 at its relaxed geometry.

a b c (Å): 7.4876 7.4876 4.0444
angles (deg): 90.00 90.00 120.00
With the nearest neighbours (Å) after each atom.
Element x y z (fractional)
Pd  0.0000  0.0000  0.5000  6 Mg 2.72
Mg  0.2431  0.2431  0.0000  2 Pd 2.72, 2 Au 2.89
Mg  0.0000  0.7569  0.0000  2 Pd 2.72, 2 Au 2.89
Mg  0.7569  0.0000  0.0000  2 Pd 2.72, 2 Au 2.89
Tm  0.4086  0.0000  0.5000  4 Au 3.04, 1 Pd 3.06, 6 Mg 3.30-3.35
Tm  0.0000  0.4086  0.5000  4 Au 3.04, 1 Pd 3.06, 6 Mg 3.30-3.35
Tm  0.5914  0.5914  0.5000  4 Au 3.04, 1 Pd 3.06, 6 Mg 3.30-3.35
Au  0.6667  0.3333  0.0000  3 Mg 2.89, 6 Tm 3.04
Au  0.3333  0.6667  0.0000  3 Mg 2.89, 6 Tm 3.04

Output
* total DFT energy (no corrections): -4.00 eV/atom
* space-group type: P-62m (189)
* magnetic moment: 0.002 μB per formula unit